# 1
# HfCuP2O GGA-PBE optimized geometry
# offset from the most stable computed form = 0.1530 eV/atom
# formation energy from raw total energies = -0.17 eV per formula unit
data_HfCuP2O
_chemical_formula_sum 'Hf1 Cu1 P2 O1'
_cell_length_a 4.548
_cell_length_b 4.548
_cell_length_c 3.654
_cell_angle_alpha 90.00
_cell_angle_beta 90.00
_cell_angle_gamma 90.00
_space_group_name_H-M_alt 'P 4/m m m'
_space_group_IT_number 123
_space_group_name_Hall '-P 4 2'
loop_
_atom_site_label
_atom_site_type_symbol
_atom_site_fract_x
_atom_site_fract_y
_atom_site_fract_z
_atom_site_occupancy
Hf1 Hf 0.000 0.000 0.000 1
Cu1 Cu 0.500 0.500 0.500 1
P1 P 0.000 0.500 0.500 1
O1 O 0.500 0.500 0.000 1

# 2
# HfCuPO2 GGA-PBE optimized geometry
# offset from the most stable computed form = 0.6256 eV/atom
# formation energy from raw total energies = -2.52 eV per formula unit
data_HfCuPO2
_chemical_formula_sum 'Hf1 Cu1 P1 O2'
_cell_length_a 3.811
_cell_length_b 3.811
_cell_length_c 4.430
_cell_angle_alpha 90.00
_cell_angle_beta 90.00
_cell_angle_gamma 90.00
_space_group_name_H-M_alt 'P 4/m m m'
_space_group_IT_number 123
_space_group_name_Hall '-P 4 2'
loop_
_atom_site_label
_atom_site_type_symbol
_atom_site_fract_x
_atom_site_fract_y
_atom_site_fract_z
_atom_site_occupancy
Hf1 Hf 0.000 0.000 0.000 1
Cu1 Cu 0.500 0.500 0.500 1
P1 P 0.500 0.500 0.000 1
O1 O 0.000 0.500 0.500 1

# 3
# HfPaCuO6 GGA-PBE optimized geometry
# formation energy from raw total energies = -23.29 eV per formula unit
data_HfPaCuO6
_chemical_formula_sum 'Hf1 Pa1 Cu1 O6'
_cell_length_a 5.1935
_cell_length_b 5.1935
_cell_length_c 4.9061
_cell_angle_alpha 90.00
_cell_angle_beta 90.00
_cell_angle_gamma 120.00
_space_group_name_H-M_alt 'P 3 1 2'
_space_group_IT_number 149
loop_
_space_group_symop_operation_xyz
'x,y,z'
'-y,x-y,z'
'-x+y,-x,z'
'-y,-x,-z'
'-x+y,y,-z'
'x,x-y,-z'
loop_
_atom_site_label
_atom_site_type_symbol
_atom_site_fract_x
_atom_site_fract_y
_atom_site_fract_z
_atom_site_occupancy
Hf1 Hf 0.0000 0.0000 0.0000 1
Pa1 Pa 0.6667 0.3333 0.5000 1
Cu1 Cu 0.3333 0.6667 0.0000 1
O1 O 0.0107 0.3398 0.2339 1

# 4
# HfCuPb2O5 GGA-PBE optimized geometry
# formation energy from raw total energies = -14.81 eV per formula unit
data_HfCuPb2O5
_chemical_formula_sum 'Hf4 Cu4 Pb8 O20'
_cell_length_a 3.290
_cell_length_b 16.343
_cell_length_c 10.358
_cell_angle_alpha 90.00
_cell_angle_beta 90.00
_cell_angle_gamma 90.00
_space_group_name_H-M_alt 'C m c 21'
_space_group_IT_number 36
loop_
_space_group_symop_operation_xyz
'x,y,z'
'-x,-y,z+1/2'
'-x,y,z'
'x,-y,z+1/2'
'x+1/2,y+1/2,z'
'-x+1/2,-y+1/2,z+1/2'
'-x+1/2,y+1/2,z'
'x+1/2,-y+1/2,z+1/2'
loop_
_atom_site_label
_atom_site_type_symbol
_atom_site_fract_x
_atom_site_fract_y
_atom_site_fract_z
_atom_site_occupancy
Hf1 Hf 0.000 0.216 0.000 1
Cu1 Cu 0.000 0.452 0.473 1
Pb1 Pb 0.000 0.105 0.296 1
Pb2 Pb 0.000 0.136 0.678 1
O1 O 0.000 0.084 0.047 1
O2 O 0.000 0.278 0.632 1
O3 O 0.000 0.300 0.375 1
O4 O 0.000 0.341 0.010 1
O5 O 0.000 0.495 0.813 1

Result set for electronic total energy: -0.22046; -0.23446; -0.31272; -0.24935 hartree per atom, one per record in the order listed.